one:
# AlAs2Se, relaxed, DFT PBEsol
data_AlAs2Se
_chemical_formula_sum 'Al1 As2 Se1'
_symmetry_space_group_name_H-M 'P 1'
_symmetry_Int_Tables_number 1
_cell_length_a 3.640
_cell_length_b 3.640
_cell_length_c 6.277
_cell_angle_alpha 90.00
_cell_angle_beta 90.00
_cell_angle_gamma 90.00
loop_
_symmetry_equiv_pos_as_xyz
'x,y,z'
loop_
_atom_site_label
_atom_site_type_symbol
_atom_site_fract_x
_atom_site_fract_y
_atom_site_fract_z
As1 As 0.000 0.500 0.000
As2 As 0.500 0.000 0.000
Al1 Al 0.000 0.000 0.500
Se1 Se 0.500 0.500 0.500
# DOS(E_F)	0.59	states/eV/atom
# SG	P4/mmm


two:
# AlAs2Se, relaxed, DFT PBEsol
data_AlAs2Se
_chemical_formula_sum 'Al1 As2 Se1'
_symmetry_space_group_name_H-M 'P 1'
_symmetry_Int_Tables_number 1
_cell_length_a 3.727
_cell_length_b 4.766
_cell_length_c 4.766
_cell_angle_alpha 110.26
_cell_angle_beta 90.00
_cell_angle_gamma 90.00
loop_
_symmetry_equiv_pos_as_xyz
'x,y,z'
loop_
_atom_site_label
_atom_site_type_symbol
_atom_site_fract_x
_atom_site_fract_y
_atom_site_fract_z
As1 As 0.000 0.995 0.005
As2 As 0.500 0.773 0.227
Al1 Al 0.500 0.259 0.741
Se1 Se 0.000 0.480 0.520
# DOS(E_F)	0.35	states/eV/atom
# SG	Amm2


Going by the energies, two is most stable and the next is 300 meV per atom up.